Compound: Nd12GaSi5
Source: Alexandria
Functional: PBE
Structure: optimized geometry

abc: 8.7181 8.7181 8.7181
angles: 106.93 111.66 109.86
Last column: nearest neighbours and their distance in Å.
Positions (direct):
Ga1 0.0000 0.5000 0.5000  8 Nd 3.33-3.39
Nd1 0.8020 0.5598 0.7578  3 Si 3.08-3.37, 1 Ga 3.33
Nd2 0.4455 0.1785 0.2670  4 Si 3.13-3.28
Nd3 0.2913 0.6765 0.9678  3 Si 2.98-3.01
Nd4 0.2913 0.3235 0.6147  3 Si 2.98-3.01
Nd5 0.1980 0.9558 0.7578  3 Si 3.08-3.37, 1 Ga 3.33
Si1 0.5000 0.1142 0.6142  1 Si 2.37
Nd6 0.5545 0.8215 0.7330  4 Si 3.13-3.28
Nd7 0.9116 0.1785 0.7330  4 Si 3.13-3.28
Si2 0.5000 0.8858 0.3858  1 Si 2.37
Si3 0.3757 0.3757 0.0000  1 Si 2.49
Nd8 0.0884 0.8215 0.2670  4 Si 3.13-3.28
Si4 0.0000 0.0000 0.0000  8 Nd 3.17-3.20
Nd9 0.7087 0.3235 0.0322  3 Si 2.98-3.01
Si5 0.6243 0.6243 0.0000  1 Si 2.49
Nd10 0.7087 0.6765 0.3853  3 Si 2.98-3.01
Nd11 0.1980 0.4402 0.2422  3 Si 3.08-3.37, 1 Ga 3.33
Nd12 0.8020 0.0442 0.2422  3 Si 3.08-3.37, 1 Ga 3.33

Space group   Immm (71)
DFT total energy   -5.335 eV/atom
M_tot   0.00 μB/atom
Formation energy without anion corrections   -0.48 eV/atom

Compound: NdGa2SiTc2
Source: Alexandria
Functional: PBE
Structure: optimized geometry

abc: 4.5086 4.5086 5.6740
angles: 90.00 90.00 90.00
Last column: nearest neighbours and their distance in Å.
Positions (direct):
Ga1 0.5000 0.5000 0.2624  2 Ga 2.70-2.98, 4 Tc 2.70
Tc1 0.0000 0.5000 0.0000  2 Si 2.25
Nd1 0.0000 0.0000 0.5000  2 Si 2.84
Si1 0.0000 0.0000 0.0000  4 Tc 2.25
Ga2 0.5000 0.5000 0.7376  2 Ga 2.70-2.98, 4 Tc 2.70
Tc2 0.5000 0.0000 0.0000  2 Si 2.25

Space group   P4/mmm (123)
DFT total energy   -6.466 eV/atom
M_tot   0.00 μB/atom
Formation energy without anion corrections   -0.30 eV/atom

Compound: NdSmGa2
Source: Alexandria
Functional: PBE
Structure: optimized geometry

abc: 3.6749 3.6749 7.3415
angles: 90.00 90.00 90.00
Last column: nearest neighbours and their distance in Å.
Positions (direct):
Nd1 0.5000 0.5000 0.5000  8 Ga 3.21
Sm1 0.5000 0.5000 0.0000  8 Ga 3.16
Ga1 0.0000 0.0000 0.7556  4 Sm 3.16, 4 Nd 3.21
Ga2 0.0000 0.0000 0.2444  4 Sm 3.16, 4 Nd 3.21

Space group   P4/mmm (123)
DFT total energy   -4.452 eV/atom
M_tot   0.00 μB/atom
Formation enthalpy at 0 K   -54.7 kJ/mol of atoms

Compound: Nd2Sm3Ga4
Source: Alexandria
Functional: PBE
Structure: optimized geometry

abc: 7.5928 8.1620 8.1722
angles: 90.00 90.00 105.97
Last column: nearest neighbours and their distance in Å.
Positions (direct):
Sm1 0.2475 0.7635 0.1746  6 Ga 2.97-3.17
Sm2 0.5000 0.5000 0.0000  6 Ga 3.09-3.30
Nd1 0.9270 0.8111 0.8161  5 Ga 3.15-3.33
Ga1 0.1178 0.5100 0.8781  1 Ga 2.65
Sm3 0.0000 0.5000 0.5000  6 Ga 3.09-3.30
Sm4 0.7475 0.7635 0.3254  6 Ga 2.97-3.17
Nd2 0.5730 0.1889 0.3161  5 Ga 3.15-3.33
Ga2 0.1323 0.9194 0.4701  1 Ga 2.73, 2 Sm 2.97-3.00
Nd3 0.4270 0.8111 0.6839  5 Ga 3.15-3.33
Sm5 0.2525 0.2365 0.6746  6 Ga 2.97-3.17
Ga3 0.6323 0.9194 0.0299  1 Ga 2.73, 2 Sm 2.97-3.00
Ga4 0.3822 0.4900 0.3781  1 Ga 2.65
Ga5 0.3677 0.0806 0.9701  1 Ga 2.73, 2 Sm 2.97-3.00
Nd4 0.0730 0.1889 0.1839  5 Ga 3.15-3.33
Ga6 0.8677 0.0806 0.5299  1 Ga 2.73, 2 Sm 2.97-3.00
Ga7 0.8822 0.4900 0.1219  1 Ga 2.65
Sm6 0.7525 0.2365 0.8254  6 Ga 2.97-3.17
Ga8 0.6178 0.5100 0.6219  1 Ga 2.65

Space group   P2_1/c (14)
DFT total energy   -4.516 eV/atom
Energy relative to the lowest polymorph listed for this composition   0.0000 eV/atom
M_tot   0.00 μB/atom
Formation enthalpy at 0 K   -52.0 kJ/mol of atoms

Compound: NdSm2Ga
Source: Alexandria
Functional: PBE
Structure: optimized geometry

abc: 3.7084 3.7084 10.6342
angles: 79.96 79.96 60.00
Last column: nearest neighbours and their distance in Å.
Positions (direct):
Sm1 0.2636 0.2636 0.2093  3 Ga 3.05
Ga1 0.6663 0.6663 0.0012  6 Sm 3.05-3.06
Sm2 0.0698 0.0698 0.7907  3 Ga 3.06
Nd1 0.5004 0.5004 0.4989  6 Sm 3.70-3.72, 6 Nd 3.71

Space group   R3m (160)
DFT total energy   -4.483 eV/atom
Energy relative to the lowest polymorph listed for this composition   0.0876 eV/atom
M_tot   0.00 μB/atom
Formation enthalpy at 0 K   -16.9 kJ/mol of atoms

Compound: Nd3Sm2Ga3
Source: Alexandria
Functional: PBE
Structure: optimized geometry

abc: 3.7555 5.2796 11.5582
angles: 103.20 99.35 90.00
Last column: nearest neighbours and their distance in Å.
Positions (direct):
Nd1 0.6163 0.6163 0.2327  6 Ga 3.19-3.24
Sm1 0.7276 0.2276 0.4551  2 Ga 3.07, 4 Sm 3.39
Ga1 0.1184 0.1184 0.2368  2 Sm 3.07, 6 Nd 3.23-3.24
Sm2 0.2724 0.7724 0.5449  2 Ga 3.07, 4 Sm 3.39
Ga2 0.8816 0.8816 0.7632  2 Sm 3.07, 6 Nd 3.23-3.24
Ga3 0.0000 0.5000 0.0000  8 Nd 3.19-3.24
Nd2 0.3837 0.3837 0.7673  6 Ga 3.19-3.24
Nd3 0.5000 0.0000 0.0000  8 Ga 3.23-3.24

Space group   Immm (71)
DFT total energy   -4.510 eV/atom
M_tot   0.00 μB/atom
Formation enthalpy at 0 K   -39.3 kJ/mol of atoms

Compound: Nd2Sm5Ga5
Source: Alexandria
Functional: PBE
Structure: optimized geometry

abc: 4.5673 6.1792 13.6789
angles: 108.90 90.00 111.69
Last column: nearest neighbours and their distance in Å.
Positions (direct):
Ga1 0.2919 0.5839 0.1939  5 Sm 3.08-3.36, 2 Nd 3.11
Sm1 0.5000 0.0000 0.5000  6 Ga 3.26-3.59
Nd1 0.9845 0.9690 0.2191  4 Ga 3.06-3.11
Ga2 0.7081 0.4161 0.8061  5 Sm 3.08-3.36, 2 Nd 3.11
Ga3 0.0000 0.0000 0.0000  4 Sm 2.92, 2 Nd 3.06
Nd2 0.0155 0.0310 0.7809  4 Ga 3.06-3.11
Sm2 0.7364 0.4728 0.3223  5 Ga 2.97-3.09
Ga4 0.8289 0.6579 0.5538  2 Ga 2.97, 5 Sm 2.97-3.26, 1 Nd 3.10
Sm3 0.3317 0.6635 0.9617  4 Ga 2.92-3.11
Sm4 0.2636 0.5272 0.6777  5 Ga 2.97-3.09
Ga5 0.1711 0.3421 0.4462  2 Ga 2.97, 5 Sm 2.97-3.26, 1 Nd 3.10
Sm5 0.6683 0.3365 0.0383  4 Ga 2.92-3.11

Space group   C2/m (12)
DFT total energy   -4.408 eV/atom
M_tot   0.00 μB/atom
Formation enthalpy at 0 K   -37.2 kJ/mol of atoms

Compound: Nd2SmGa2
Source: Alexandria
Functional: PBE
Structure: optimized geometry

abc: 4.7592 5.9244 5.9244
angles: 69.53 66.32 66.32
Last column: nearest neighbours and their distance in Å.
Positions (direct):
Ga1 0.5000 0.6997 0.3003  1 Ga 2.70
Sm1 0.0000 0.0000 0.0000  4 Ga 3.13, 4 Nd 3.50
Ga2 0.5000 0.3003 0.6997  1 Ga 2.70
Nd1 0.8023 0.6977 0.6977  6 Ga 3.21-3.27, 1 Nd 3.36, 2 Sm 3.50
Nd2 0.1977 0.3023 0.3023  6 Ga 3.21-3.27, 1 Nd 3.36, 2 Sm 3.50

Space group   Immm (71)
DFT total energy   -4.535 eV/atom
Energy relative to the lowest polymorph listed for this composition   0.0000 eV/atom
M_tot   0.00 μB/atom
Formation enthalpy at 0 K   -45.6 kJ/mol of atoms

Compound: Nd2Sm3Ga3
Source: Alexandria
Functional: PBE
Structure: optimized geometry

abc: 3.7479 5.2172 11.5469
angles: 103.06 99.34 90.00
Last column: nearest neighbours and their distance in Å.
Positions (direct):
Ga1 0.8844 0.8844 0.7687  2 Nd 3.10, 6 Sm 3.18-3.21
Sm1 0.5000 0.0000 0.0000  8 Ga 3.18-3.21
Sm2 0.6148 0.6148 0.2295  6 Ga 3.16-3.21
Nd1 0.2732 0.7732 0.5464  2 Ga 3.10, 4 Nd 3.37
Nd2 0.7268 0.2268 0.4536  2 Ga 3.10, 4 Nd 3.37
Ga2 0.0000 0.5000 0.0000  8 Sm 3.16-3.21
Ga3 0.1156 0.1156 0.2313  2 Nd 3.10, 6 Sm 3.18-3.21
Sm3 0.3852 0.3852 0.7705  6 Ga 3.16-3.21

Space group   Immm (71)
DFT total energy   -4.503 eV/atom
M_tot   0.00 μB/atom
Formation enthalpy at 0 K   -39.2 kJ/mol of atoms

Compound: NdSm6Ga
Source: Alexandria
Functional: PBE
Structure: optimized geometry

abc: 7.0361 7.0361 7.0239
angles: 104.39 104.39 120.63
Last column: nearest neighbours and their distance in Å.
Positions (direct):
Nd1 0.0000 0.0000 0.0000  6 Sm 3.24-3.26, 2 Ga 3.49
Sm1 0.4981 0.9295 0.7408  1 Ga 3.08, 1 Sm 3.19, 1 Nd 3.26
Sm2 0.5019 0.0705 0.2592  1 Ga 3.08, 1 Sm 3.19, 1 Nd 3.26
Sm3 0.0705 0.5019 0.2592  1 Ga 3.08, 1 Sm 3.19, 1 Nd 3.26
Sm4 0.9295 0.4981 0.7408  1 Ga 3.08, 1 Sm 3.19, 1 Nd 3.26
Sm5 0.7335 0.7335 0.2674  1 Ga 2.83
Ga1 0.5000 0.5000 0.5000  6 Sm 2.83-3.08
Sm6 0.2665 0.2665 0.7326  1 Ga 2.83

Space group   C2/m (12)
DFT total energy   -4.379 eV/atom
M_tot   0.00 μB/atom
Formation enthalpy at 0 K   13.0 kJ/mol of atoms